Below is a relaxed structure of Tb6PmMg, with properties calculated at the PBE level.

Its symmetry is P4/mmm. The formation energy is 0.022 eV per atom. As for the total energy: -33.951 eV for the cell shown. The calculation puts the calculated density at 7455 kg/m3.

Geometry as POSCAR:
```
Tb6PmMg
1.0
4.997 0.000 0.000
0.000 4.997 0.000
0.000 0.000 10.016
Tb Pm Mg
6 1 1
direct
0.500 0.500 0.000
0.500 0.500 0.500
0.500 0.000 0.246
0.500 0.000 0.754
0.000 0.500 0.246
0.000 0.500 0.754
0.000 0.000 0.500
0.000 0.000 0.000
```



Below is a relaxed structure of Ac6Si3S2Br, with properties calculated at the PBE level.

Its symmetry is C2/m. As for the total energy: -65.372 eV for the cell shown. The calculation puts the calculated density at 6770 kg/m3. For the formation energy from raw total energies, the calculation gives -1.2104 eV per atom.

Geometry as POSCAR:
```
Ac6Si3S2Br
1.0
4.542 0.000 0.000
0.000 8.972 0.427
-2.271 -2.473 9.455
Ac Si S Br
6 3 2 1
direct
0.326 0.914 0.651
0.666 0.587 0.332
0.674 0.086 0.349
0.001 0.269 0.002
0.999 0.731 0.998
0.334 0.413 0.668
0.500 0.500 0.000
0.837 0.166 0.673
0.163 0.834 0.327
0.833 0.666 0.665
0.167 0.334 0.335
0.500 0.000 0.000
```